# NaFe3Pt, optimized geometry, DFT PBEsol
# Spin magnetization ... 8.64 Bohr magnetons per cell
# Formation energy ... 1.9248 eV/atom
data_NaFe3Pt
_chemical_formula_sum 'Na1 Fe3 Pt1'
_symmetry_space_group_name_H-M 'P m -3 m'
_symmetry_Int_Tables_number 221
_symmetry_space_group_name_Hall '-P 4 2 3'
_cell_length_a 4.210
_cell_length_b 4.210
_cell_length_c 4.210
_cell_angle_alpha 90.00
_cell_angle_beta 90.00
_cell_angle_gamma 90.00
loop_
_atom_site_label
_atom_site_type_symbol
_atom_site_fract_x
_atom_site_fract_y
_atom_site_fract_z
Na1 Na 0.000 0.000 0.000
Fe1 Fe 0.000 0.000 0.500
Pt1 Pt 0.500 0.500 0.500